Below is AcDyEr6 after structural relaxation, with properties calculated at the PBE-GGA level.

a = 5.921 Å, b = 5.921 Å, c = 8.855 Å
α = 79.63°, β = 79.63°, γ = 71.65°
Atoms (fractional coordinates):
Er (0.043, 0.521, 0.300)
Er (0.957, 0.479, 0.700)
Er (0.479, 0.957, 0.700)
Er (0.521, 0.043, 0.300)
Er (0.378, 0.378, 0.918)
Er (0.622, 0.622, 0.082)
Ac (0.000, 0.000, 0.000)
Dy (0.500, 0.500, 0.500)

Results
Fermi-level density of states   15.4 states/eV per cell
SG   C2/m, No. 12
Volume   35.91 Å³/atom
DFT total energy   -4.1025 eV per atom